Below is a relaxed SrErZnPt2 crystal, with properties calculated at the PBE level.

Results
Formation enthalpy at 0 K, kJ per mole of atoms: -86
Space group: I-4m2

Geometry as POSCAR:
```
SrErZnPt2
1.0
-3.125 2.913 -0.635
-2.709 -2.390 2.366
4.698 2.760 4.226
Pt Er Sr Zn
2 1 1 1
Direct
0.609 0.609 0.219
0.391 0.391 0.781
0.750 0.250 0.500
0.000 0.000 0.000
0.250 0.750 0.500
```

=====

Below is a relaxed TeSIN2 crystal, with properties calculated at the PBE level.

Results
ΔE_f (raw), eV/atom: 1.47
Space group: P4/mmm

Geometry as POSCAR:
```
TeSIN2
1.0
3.973 0.000 0.000
0.000 3.973 0.000
0.000 0.000 8.091
N I S Te
2 1 1 1
Direct
0.000 0.500 0.000
0.500 0.000 0.000
0.000 0.000 0.500
0.500 0.500 0.500
0.000 0.000 0.000
```